No. 1
{
  "formula": "Mg2InPt",
  "functional": "PBE",
  "state": "optimized geometry",
  "lattice_angstrom": [[-1.879, 0.061, -8.215], [-0.724, -8.396, 0.103], [-3.896, -3.936, -3.461]],
  "species": ["Mg", "Pt", "In", "Mg", "Mg", "Pt", "In", "Mg"],
  "frac_coords": [[0.715, 0.125, 0.250], [0.000, 0.000, 0.000], [0.250, 0.750, 0.500], [0.375, 0.285, 0.750], [0.875, 0.965, 0.750], [0.750, 0.250, 0.500], [0.500, 0.500, 0.000], [0.035, 0.625, 0.250]],
  "delta_e_f_kj_per_mol_atoms": -25.5
}

=====

No. 2
{
  "formula": "MgInPt2",
  "functional": "PBE",
  "state": "optimized geometry",
  "lattice_angstrom": [[-1.186, 3.193, 3.267], [-5.476, -1.580, -0.448], [-1.865, -4.190, 3.413]],
  "species": ["Pt", "Pt", "Mg", "Mg", "Pt", "In", "Pt", "In"],
  "frac_coords": [[0.250, 0.651, 0.149], [0.250, 0.149, 0.651], [0.750, 0.860, 0.860], [0.250, 0.140, 0.140], [0.750, 0.851, 0.349], [0.250, 0.651, 0.651], [0.750, 0.349, 0.851], [0.750, 0.349, 0.349]],
  "delta_e_f_kj_per_mol_atoms": -65.7
}

=====

No. 3
{
  "formula": "Mg2InPt",
  "functional": "PBE",
  "state": "optimized geometry",
  "lattice_angstrom": [[-1.160, -4.247, 1.637], [3.361, -3.095, 1.089], [0.822, -1.090, 4.494]],
  "species": ["Mg", "Mg", "Pt", "In"],
  "frac_coords": [[0.000, 0.000, 0.000], [0.250, 0.250, 0.250], [0.750, 0.750, 0.750], [0.500, 0.500, 0.500]],
  "delta_e_f_kj_per_mol_atoms": -42.4
}

=====

Results for total energy: -3.2567; -4.7847; -3.4316 (in eV per atom, following the order of the records).